The following is a DFT calculation (PBE) of a relaxed CrOs2Au crystal.

Energy relative to the elements ... 395 meV per atom
Offset from the most stable computed form ... 133.5 meV/atom
M_tot ... 1.53 μB/f.u.

a b c (Å): 9.0800 2.7978 4.7484
angles (deg): 90.00 100.58 90.00
Space group Cm (No. 8)
Asymmetric unit:
Cr 0.0000 0.0000 0.0000 (multiplicity 2)
Os 0.2418 0.5000 0.2423 (multiplicity 2)
Os 0.4865 0.0000 0.4433 (multiplicity 2)
Au 0.2446 0.0000 0.7414 (multiplicity 2)